No. 1
LaCeTmLu after structural relaxation, computed with GGA-PBE.

Geometry as POSCAR:
```
LaCeTmLu
1.0
5.6686 0.0000 0.0000
2.8343 4.9092 0.0000
2.8343 1.6364 4.6284
La Lu Tm Ce
1 1 1 1
direct
0.2500 0.2500 0.2500 La
0.5000 0.5000 0.5000 Lu
0.0000 0.0000 0.0000 Tm
0.7500 0.7500 0.7500 Ce
```

Computed properties:
DFT total energy   -19.3 eV for the cell shown
Total moment   0.5 μB per formula unit

---

No. 2
Pr2Ni12P3Pd after structural relaxation, computed with GGA-PBE.

Geometry as POSCAR:
```
Pr2Ni12P3Pd
1.0
-3.5987 1.9656 5.1781
-2.1911 -5.7363 2.4333
4.1320 -1.0432 5.0463
Ni Pr P Pd
12 2 3 1
direct
0.1547 0.6489 0.1547 Ni
0.6826 0.6826 0.1062 Ni
0.6826 0.1062 0.6826 Ni
0.3511 0.8453 0.8453 Ni
0.8453 0.8453 0.3511 Ni
0.8453 0.3511 0.8453 Ni
0.1547 0.1547 0.6489 Ni
0.8938 0.3174 0.3174 Ni
0.3174 0.3174 0.8938 Ni
0.6489 0.1547 0.1547 Ni
0.3174 0.8938 0.3174 Ni
0.1062 0.6826 0.6826 Ni
0.6198 0.6198 0.6198 Pr
0.3802 0.3802 0.3802 Pr
0.0000 0.0000 0.5000 P
0.0000 0.5000 0.0000 P
0.5000 0.0000 0.0000 P
0.0000 0.0000 0.0000 Pd
```

Computed properties:
DFT total energy   -100.6 eV for the cell shown
Total moment   0.0 μB per formula unit

---

No. 3
KTl2Rh after structural relaxation, computed with GGA-PBE.

Geometry as POSCAR:
```
KTl2Rh
1.0
-0.7690 -3.4080 -0.6561
0.2301 -0.6723 3.2227
-8.4393 1.7192 0.9612
Rh K Tl
1 1 2
direct
0.5000 0.5000 0.7500 Rh
0.5000 0.5000 0.2500 K
0.0000 0.0000 0.5597 Tl
0.0000 0.0000 0.9403 Tl
```

Computed properties:
DFT total energy   -13.1 eV for the cell shown
Total moment   0.0 μB per formula unit

---

No. 4
Pr2HoGa after structural relaxation, computed with GGA-PBE.

Geometry as POSCAR:
```
Pr2HoGa
1.0
-2.5205 0.4347 2.7191
-3.3753 -1.5630 -0.3164
1.6069 -9.0411 5.4974
Pr Ho Ga
2 1 1
direct
0.0722 0.0722 0.7834 Pr
0.2612 0.2612 0.2163 Pr
0.5002 0.5002 0.4995 Ho
0.6664 0.6664 0.0008 Ga
```

Computed properties:
DFT total energy   -17.7 eV for the cell shown
Excess energy over the best structure of this formula in the dataset   124 meV per atom
Total moment   0.7 μB per formula unit

---

No. 5
Mo2Se3 after structural relaxation, computed with GGA-PBE.

Geometry as POSCAR:
```
Mo2Se3
1.0
2.1829 -3.7809 0.0000
2.1829 3.7809 0.0000
0.0000 0.0000 6.8410
Mo Se
2 3
direct
0.3333 0.6667 0.8997 Mo
0.6667 0.3333 0.1003 Mo
0.0000 0.0000 0.0000 Se
0.6667 0.3333 0.7295 Se
0.3333 0.6667 0.2705 Se
```

Computed properties:
DFT total energy   -32.7 eV for the cell shown
Total moment   0.0 μB per formula unit
E_form (uncorrected)   -0.12 eV per atom

---

No. 6
Tm6GaCo2 after structural relaxation, computed with GGA-PBE.

Geometry as POSCAR:
```
Tm6GaCo2
1.0
-1.0345 -2.1480 -7.7859
7.1606 -3.0833 2.3500
-6.1657 -2.8558 4.4868
Co Ga Tm
4 2 12
direct
0.3376 0.5000 0.8376 Co
0.1162 0.1162 0.0000 Co
0.8838 0.8838 0.0000 Co
0.6624 0.5000 0.1624 Co
0.5000 0.0000 0.5000 Ga
0.0000 0.5000 0.5000 Ga
0.3264 0.1376 0.8112 Tm
0.6736 0.8624 0.1888 Tm
0.1812 0.2198 0.4010 Tm
0.5626 0.2603 0.3023 Tm
0.9580 0.2603 0.6977 Tm
0.8188 0.2198 0.0386 Tm
0.1812 0.7802 0.9614 Tm
0.4374 0.7397 0.6977 Tm
0.0420 0.7397 0.3023 Tm
0.6736 0.4848 0.8112 Tm
0.3264 0.5152 0.1888 Tm
0.8188 0.7802 0.5990 Tm
```

Computed properties:
DFT total energy   -94.0 eV for the cell shown
Total moment   0.0 μB per formula unit

---

No. 7
FeIrCl2 after structural relaxation, computed with GGA-PBE.

Geometry as POSCAR:
```
FeIrCl2
1.0
3.1355 0.3019 0.0000
-1.5335 2.7516 0.0000
0.0000 0.0000 8.9245
Cl Ir Fe
2 1 1
direct
0.0000 0.0000 0.9151 Cl
0.5000 0.5000 0.3417 Cl
0.5000 0.5000 0.7141 Ir
0.0000 0.0000 0.5291 Fe
```

Computed properties:
DFT total energy   -20.5 eV for the cell shown
Excess energy over the best structure of this formula in the dataset   201 meV per atom
Total moment   3.9 μB per formula unit
E_form (uncorrected)   0.13 eV per atom

---

No. 8
BaTcHg2 after structural relaxation, computed with GGA-PBE.

Geometry as POSCAR:
```
BaTcHg2
1.0
3.9421 0.0000 0.0000
0.0000 3.3365 0.3190
0.0000 2.5771 8.0020
Ba Hg Tc
1 2 1
direct
0.5000 0.7500 0.7500 Ba
0.0000 0.5572 0.4421 Hg
0.0000 0.9428 0.0579 Hg
0.5000 0.2500 0.2500 Tc
```

Computed properties:
DFT total energy   -11.4 eV for the cell shown
Excess energy over the best structure of this formula in the dataset   397 meV per atom
Total moment   2.3 μB per formula unit

---

No. 9
NaZnAg after structural relaxation, computed with GGA-PBE.

Geometry as POSCAR:
```
NaZnAg
1.0
-2.6618 -1.2375 5.3494
5.5315 -5.1389 -1.9165
4.2334 3.4717 2.9095
Ag Na Zn
4 4 4
direct
0.7497 0.9994 0.7500 Ag
0.2503 0.0006 0.2500 Ag
0.7503 0.0006 0.2500 Ag
0.2497 0.9994 0.7500 Ag
0.3303 0.6607 0.9992 Na
0.6697 0.3393 0.0008 Na
0.8303 0.6607 0.5008 Na
0.1697 0.3393 0.4992 Na
0.1125 0.2250 0.9988 Zn
0.6125 0.2250 0.5012 Zn
0.8875 0.7750 0.0012 Zn
0.3875 0.7750 0.4988 Zn
```

Computed properties:
DFT total energy   -21.3 eV for the cell shown
Excess energy over the best structure of this formula in the dataset   123 meV per atom
Total moment   0.0 μB per formula unit

---

No. 10
NdYAgSb after structural relaxation, computed with GGA-PBE.

Geometry as POSCAR:
```
NdYAgSb
1.0
-2.1780 3.0998 -3.7187
-5.2735 0.1249 -0.5963
-2.7296 4.3271 1.4165
Nd Y Sb Ag
1 1 1 1
direct
0.7500 0.7500 0.7500 Nd
0.2500 0.2500 0.2500 Y
0.5000 0.5000 0.5000 Sb
0.0000 0.0000 0.0000 Ag
```

Computed properties:
DFT total energy   -20.5 eV for the cell shown
Total moment   0.0 μB per formula unit
E_form (uncorrected)   -0.58 eV per atom

---

No. 11
Sr3FeC after structural relaxation, computed with GGA-PBE.

Geometry as POSCAR:
```
Sr3FeC
1.0
5.3518 0.0000 0.0000
0.0000 5.3518 0.0000
0.0000 0.0000 5.3518
Fe Sr C
1 3 1
direct
0.5000 0.5000 0.5000 Fe
0.0000 0.5000 0.0000 Sr
0.5000 0.0000 0.0000 Sr
0.0000 0.0000 0.5000 Sr
0.0000 0.0000 0.0000 C
```

Computed properties:
DFT total energy   -17.7 eV for the cell shown
Excess energy over the best structure of this formula in the dataset   0 meV per atom
Total moment   1.2 μB per formula unit

---

Number 1: volume 32.20 A^3/atom. Number 2: volume 15.06 A^3/atom. Number 3: volume 25.42 A^3/atom. Number 4: volume 31.63 A^3/atom. Number 5: volume 22.58 A^3/atom. Number 6: volume 23.04 A^3/atom. Number 7: volume 20.28 A^3/atom. Number 8: volume 25.50 A^3/atom. Number 9: volume 22.60 A^3/atom. Number 10: volume 26.45 A^3/atom. Number 11: volume 30.66 A^3/atom.